Computed, not measured: an optimized crystal structure of Dy2Cd3Sn3 at the GGA-PBE level of DFT.

Values from the calculation:
- Formation energy from the elements: -0.434 eV per atom

Cell lengths 4.7748, 4.6071, 8.9107 Å; angles 90.00, 90.00, 90.00 degrees
Atoms (fractional coordinates):
1 Sn 0.0000 0.5000 0.0000
2 Cd 0.5000 0.5000 0.2403
3 Sn 0.5000 0.0000 0.5000
4 Dy 0.0000 0.0000 0.7447
5 Sn 0.0000 0.5000 0.5000
6 Cd 0.5000 0.0000 0.0000
7 Cd 0.5000 0.5000 0.7597
8 Dy 0.0000 0.0000 0.2553

=====

Computed, not measured: an optimized crystal structure of Ga2BC at the GGA-PBE level of DFT.

Values from the calculation:
- Formation energy from the elements: 1.611 eV per atom
- E above lowest polymorph: 65.79 kJ/mol of atoms

Cell lengths 4.0545, 4.0545, 4.0545 Å; angles 60.00, 60.00, 60.00 degrees
Atoms (fractional coordinates):
1 Ga 0.7500 0.7500 0.7500
2 B 0.0000 0.0000 0.0000
3 Ga 0.2500 0.2500 0.2500
4 C 0.5000 0.5000 0.5000

=====

Computed, not measured: an optimized crystal structure of BaCr2Cu at the GGA-PBE level of DFT.

Values from the calculation:
- Formation energy from the elements: 1.050 eV per atom
- E above lowest polymorph: 46.33 kJ/mol of atoms

Cell lengths 5.0106, 5.0106, 5.0106 Å; angles 60.00, 60.00, 60.00 degrees
Atoms (fractional coordinates):
1 Ba 0.5000 0.5000 0.5000
2 Cr 0.2500 0.2500 0.2500
3 Cu 0.0000 0.0000 0.0000
4 Cr 0.7500 0.7500 0.7500

=====

Computed, not measured: an optimized crystal structure of Tl2TcBr at the GGA-PBE level of DFT.

Values from the calculation:
- Formation energy from raw total energies: 47.9 kJ per mole of atoms
- E above lowest polymorph: 14.94 kJ/mol of atoms

Cell lengths 7.7810, 7.7810, 4.5002 Å; angles 73.25, 73.25, 23.32 degrees
Atoms (fractional coordinates):
1 Br 0.7500 0.7500 0.7500
2 Tl 0.5724 0.5724 0.4277
3 Tc 0.2500 0.2500 0.2500
4 Tl 0.9276 0.9276 0.0723

=====

Computed, not measured: an optimized crystal structure of Y8Mn4Fe at the GGA-PBE level of DFT.

Values from the calculation:
- Formation energy from the elements: 0.402 eV per atom

Cell lengths 7.8374, 7.8374, 7.8374 Å; angles 99.43, 99.43, 132.25 degrees
Atoms (fractional coordinates):
1 Mn 0.0000 0.5000 0.0000
2 Mn 0.0000 0.0000 0.5000
3 Y 0.2742 0.5000 0.7742
4 Y 0.7135 0.0000 0.7135
5 Y 0.5000 0.7258 0.2258
6 Y 0.0000 0.7135 0.7135
7 Y 0.7258 0.5000 0.2258
8 Mn 0.5000 0.5000 0.5000
9 Fe 0.0000 0.0000 0.0000
10 Mn 0.5000 0.0000 0.0000
11 Y 0.2865 0.0000 0.2865
12 Y 0.5000 0.2742 0.7742
13 Y 0.0000 0.2865 0.2865

=====

Computed, not measured: an optimized crystal structure of SbMoOs at the GGA-PBE level of DFT.

Values from the calculation:
- Formation energy from raw total energies: 14.3 kJ per mole of atoms
- E above lowest polymorph: 0.00 kJ/mol of atoms

Cell lengths 4.3487, 4.3487, 4.3487 Å; angles 60.00, 60.00, 60.00 degrees
Atoms (fractional coordinates):
1 Os 0.7500 0.7500 0.7500
2 Mo 0.5000 0.5000 0.5000
3 Sb 0.0000 0.0000 0.0000

=====

Computed, not measured: an optimized crystal structure of Mg2NpTaN4 at the GGA-PBE level of DFT.

Values from the calculation:
- Formation energy from raw total energies: -96.2 kJ per mole of atoms

Cell lengths 3.1908, 5.5763, 5.5458 Å; angles 109.16, 90.00, 90.00 degrees
Atoms (fractional coordinates):
1 N 0.5000 0.7354 0.7515
2 Mg 0.0000 0.5000 0.5000
3 Ta 0.5000 0.5000 0.0000
4 N 0.0000 0.7387 0.2389
5 Mg 0.5000 0.0000 0.5000
6 N 0.5000 0.2646 0.2485
7 Np 0.0000 0.0000 0.0000
8 N 0.0000 0.2613 0.7611

=====

Computed, not measured: an optimized crystal structure of Rb3UTe6Pd2 at the GGA-PBE level of DFT.

Values from the calculation:
- Formation energy from raw total energies: -56.7 kJ per mole of atoms

Cell lengths 7.3172, 7.3172, 8.9815 Å; angles 97.87, 97.87, 119.79 degrees
Atoms (fractional coordinates):
1 Te 0.4134 0.0603 0.1834
2 Te 0.5866 0.9397 0.8166
3 Rb 0.8385 0.1615 0.5000
4 U 0.0000 0.0000 0.0000
5 Te 0.7072 0.7072 0.1808
6 Pd 0.3327 0.6673 0.0000
7 Te 0.9397 0.5866 0.8166
8 Rb 0.1615 0.8385 0.5000
9 Te 0.0603 0.4134 0.1834
10 Pd 0.6673 0.3327 0.0000
11 Te 0.2928 0.2928 0.8192
12 Rb 0.5000 0.5000 0.5000

=====

Computed, not measured: an optimized crystal structure of Be2CuIF at the GGA-PBE level of DFT.

Values from the calculation:
- Formation energy from raw total energies: 96.8 kJ per mole of atoms

Cell lengths 4.8128, 4.5806, 4.8128 Å; angles 90.00, 90.00, 90.00 degrees
Atoms (fractional coordinates):
1 I 0.0000 0.0000 0.0000
2 F 0.0000 0.5000 0.0000
3 Be 0.5000 0.0000 0.0000
4 Cu 0.5000 0.5000 0.5000
5 Be 0.0000 0.0000 0.5000

=====

Computed, not measured: an optimized crystal structure of Tb2Ho3In3 at the GGA-PBE level of DFT.

Values from the calculation:
- Formation energy from the elements: -0.355 eV per atom
- E above lowest polymorph: 0.00 kJ/mol of atoms

Cell lengths 3.7562, 5.3184, 11.6022 Å; angles 103.25, 99.32, 90.00 degrees
Atoms (fractional coordinates):
1 In 0.8817 0.8817 0.7635
2 Ho 0.6240 0.6240 0.2479
3 Ho 0.3760 0.3760 0.7521
4 In 0.1183 0.1183 0.2365
5 Tb 0.7347 0.2347 0.4695
6 In 0.0000 0.5000 0.0000
7 Ho 0.5000 0.0000 0.0000
8 Tb 0.2653 0.7653 0.5305

=====

Computed, not measured: an optimized crystal structure of DyU3Se6 at the GGA-PBE level of DFT.

Values from the calculation:
- Formation energy from raw total energies: -121.2 kJ per mole of atoms

Cell lengths 4.0119, 11.5369, 11.9786 Å; angles 108.62, 90.00, 90.00 degrees
Atoms (fractional coordinates):
1 Se 0.7500 0.9150 0.1069
2 Se 0.2500 0.8856 0.5342
3 Se 0.2500 0.0850 0.8931
4 Se 0.7500 0.1144 0.4658
5 Se 0.7500 0.7499 0.2809
6 Se 0.2500 0.5069 0.3761
7 U 0.7500 0.4282 0.8332
8 Se 0.2500 0.6075 0.9388
9 Se 0.7500 0.8073 0.7485
10 U 0.2500 0.3183 0.5014
11 U 0.2500 0.8500 0.9244
12 Dy 0.7500 0.0432 0.6920
13 Dy 0.2500 0.9568 0.3080
14 Se 0.2500 0.2501 0.7191
15 U 0.2500 0.5718 0.1668
16 U 0.7500 0.1500 0.0756
17 Se 0.7500 0.3925 0.0612
18 Se 0.2500 0.1927 0.2515
19 U 0.7500 0.6817 0.4986
20 Se 0.7500 0.4931 0.6239

=====

Computed, not measured: an optimized crystal structure of Nb3PC at the GGA-PBE level of DFT.

Values from the calculation:
- Formation energy from the elements: -0.018 eV per atom

Cell lengths 4.2553, 4.2553, 4.2553 Å; angles 90.00, 90.00, 90.00 degrees
Atoms (fractional coordinates):
1 Nb 0.5000 0.0000 0.0000
2 Nb 0.0000 0.0000 0.5000
3 C 0.0000 0.0000 0.0000
4 P 0.5000 0.5000 0.5000
5 Nb 0.0000 0.5000 0.0000

=====

Computed, not measured: an optimized crystal structure of NaYSb2O at the GGA-PBE level of DFT.

Values from the calculation:
- Formation energy from raw total energies: -63.3 kJ per mole of atoms

Cell lengths 6.2325, 4.1103, 6.2325 Å; angles 90.00, 90.00, 90.00 degrees
Atoms (fractional coordinates):
1 Sb 0.5000 0.0000 0.0000
2 O 0.0000 0.5000 0.0000
3 Sb 0.0000 0.0000 0.5000
4 Y 0.0000 0.0000 0.0000
5 Na 0.5000 0.5000 0.5000

=====

Computed, not measured: an optimized crystal structure of SrFeAsBr2 at the GGA-PBE level of DFT.

Values from the calculation:
- Formation energy from raw total energies: 25.0 kJ per mole of atoms
- E above lowest polymorph: 74.94 kJ/mol of atoms

Cell lengths 5.7665, 5.7665, 6.2582 Å; angles 90.00, 90.00, 90.00 degrees
Atoms (fractional coordinates):
1 Fe 0.5000 0.5000 0.5000
2 Br 0.0000 0.5000 0.0000
3 Br 0.5000 0.0000 0.0000
4 As 0.0000 0.0000 0.5000
5 Sr 0.0000 0.0000 0.0000

=====

Computed, not measured: an optimized crystal structure of K5Rb6Na5 at the GGA-PBE level of DFT.

Values from the calculation:
- Formation energy from the elements: 0.036 eV per atom

Cell lengths 7.8593, 12.0685, 12.0685 Å; angles 110.48, 90.00, 90.00 degrees
Atoms (fractional coordinates):
1 K 0.0000 0.0088 0.7103
2 K 0.5000 0.1670 0.9539
3 Rb 0.5000 0.0586 0.5615
4 K 0.5000 0.7596 0.7596
5 Na 0.7630 0.3671 0.7545
6 K 0.0000 0.7103 0.0088
7 Rb 0.0000 0.3885 0.1301
8 Rb 0.0000 0.1301 0.3885
9 Na 0.2370 0.3671 0.7545
10 K 0.5000 0.9539 0.1670
11 Rb 0.5000 0.5615 0.0586
12 Na 0.0000 0.0295 0.0295
13 Na 0.7630 0.7545 0.3671
14 Rb 0.0000 0.5900 0.5900
15 Rb 0.5000 0.3989 0.3989
16 Na 0.2370 0.7545 0.3671

=====

Computed, not measured: an optimized crystal structure of KAg2Os at the GGA-PBE level of DFT.

Values from the calculation:
- Formation energy from the elements: 0.798 eV per atom
- E above lowest polymorph: 6.53 kJ/mol of atoms

Cell lengths 2.8140, 2.8140, 9.9602 Å; angles 90.00, 90.00, 90.04 degrees
Atoms (fractional coordinates):
1 Ag 0.0000 0.0000 0.5400
2 Os 0.5000 0.5000 0.7500
3 Ag 0.0000 0.0000 0.9600
4 K 0.5000 0.5000 0.2500

=====

Computed, not measured: an optimized crystal structure of LiLuAlGa at the GGA-PBE level of DFT.

Values from the calculation:
- Formation energy from the elements: -0.320 eV per atom

Cell lengths 4.7733, 4.7733, 4.7733 Å; angles 60.00, 60.00, 60.00 degrees
Atoms (fractional coordinates):
1 Li 0.5000 0.5000 0.5000
2 Lu 0.0000 0.0000 0.0000
3 Ga 0.2500 0.2500 0.2500
4 Al 0.7500 0.7500 0.7500